## Na3Be2Sb4 (GGA-PBE)

Data for a relaxed structure of Na3Be2Sb4.

Unit cell a=7.0154 b=7.0154 c=8.4659 alpha=105.02 beta=105.02 gamma=33.39
Positions (direct):
Na1 0.0000 0.0000 0.0000
Na2 0.3935 0.3935 0.3124
Na3 0.6065 0.6065 0.6876
Be1 0.2712 0.2712 0.6016
Be2 0.7288 0.7288 0.3984
Sb1 0.1101 0.1101 0.3764
Sb2 0.2993 0.2993 0.9172
Sb3 0.7007 0.7007 0.0828
Sb4 0.8899 0.8899 0.6236

Output
formation energy (no corrections)	-0.16	eV per atom
DFT total energy	-3.2616	eV/atom
space group	No. 12

## NaBeSb2Te (GGA-PBE)

Data for a relaxed structure of NaBeSb2Te.

Unit cell a=5.3844 b=5.3844 c=5.4236 alpha=90.00 beta=90.00 gamma=90.00
Positions (direct):
Na1 0.0000 0.0000 0.0000
Be1 0.5000 0.5000 0.5000
Sb1 0.0000 0.5000 0.0000
Sb2 0.5000 0.0000 0.0000
Te1 0.0000 0.0000 0.5000

Output
formation energy (no corrections)	1.21	eV per atom
energy above the lowest structure with this stoichiometry	1028	meV per atom
DFT total energy	-2.0798	eV/atom
space group	No. 123

## NaBeSbTe2 (GGA-PBE)

Data for a relaxed structure of NaBeSbTe2.

Unit cell a=5.4102 b=5.4102 c=4.6836 alpha=90.00 beta=90.00 gamma=90.00
Positions (direct):
Na1 0.0000 0.0000 0.0000
Be1 0.5000 0.5000 0.5000
Sb1 0.5000 0.5000 0.0000
Te1 0.0000 0.5000 0.5000
Te2 0.5000 0.0000 0.5000

Output
formation energy (no corrections)	0.08	eV per atom
energy above the lowest structure with this stoichiometry	0	meV per atom
DFT total energy	-3.0136	eV/atom
space group	No. 123

## NaBeSbTe2 (GGA-PBE)

Data for a relaxed structure of NaBeSbTe2.

Unit cell a=5.4895 b=5.4895 c=5.3623 alpha=90.00 beta=90.00 gamma=90.00
Positions (direct):
Na1 0.0000 0.0000 0.0000
Be1 0.5000 0.5000 0.5000
Sb1 0.0000 0.0000 0.5000
Te1 0.0000 0.5000 0.0000
Te2 0.5000 0.0000 0.0000

Output
formation energy (no corrections)	1.14	eV per atom
energy above the lowest structure with this stoichiometry	1062	meV per atom
DFT total energy	-1.9514	eV/atom
space group	No. 123

## NaBeSb2Te (GGA-PBE)

Data for a relaxed structure of NaBeSb2Te.

Unit cell a=4.9014 b=4.9014 c=5.6217 alpha=90.00 beta=90.00 gamma=90.00
Positions (direct):
Na1 0.0000 0.0000 0.0000
Be1 0.5000 0.5000 0.5000
Sb1 0.0000 0.5000 0.5000
Sb2 0.5000 0.0000 0.5000
Te1 0.5000 0.5000 0.0000

Output
formation energy (no corrections)	0.18	eV per atom
energy above the lowest structure with this stoichiometry	0	meV per atom
DFT total energy	-3.1082	eV/atom
space group	No. 123

## Na2BeTlSb (GGA-PBE)

Data for a relaxed structure of Na2BeTlSb.

Unit cell a=6.0278 b=6.0278 c=5.5232 alpha=90.00 beta=90.00 gamma=90.00
Positions (direct):
Na1 0.0000 0.5000 0.0000
Na2 0.5000 0.0000 0.0000
Be1 0.0000 0.0000 0.5000
Tl1 0.5000 0.5000 0.0000
Sb1 0.5000 0.5000 0.5000

Output
formation energy (no corrections)	0.77	eV per atom
DFT total energy	-1.7987	eV/atom
space group	No. 123

## Na2ScBe (GGA-PBE)

Data for a relaxed structure of Na2ScBe.

Unit cell a=8.5735 b=8.5735 c=5.4434 alpha=90.00 beta=90.00 gamma=90.00
Positions (direct):
Na1 0.1868 0.2500 0.1250
Na2 0.2500 0.6868 0.3750
Na3 0.2500 0.8132 0.8750
Na4 0.3132 0.2500 0.6250
Na5 0.6868 0.7500 0.6250
Na6 0.7500 0.1868 0.8750
Na7 0.7500 0.3132 0.3750
Na8 0.8132 0.7500 0.1250
Sc1 0.0000 0.0000 0.5000
Sc2 0.0000 0.5000 0.7500
Sc3 0.5000 0.0000 0.2500
Sc4 0.5000 0.5000 0.0000
Be1 0.0000 0.0000 0.0000
Be2 0.0000 0.5000 0.2500
Be3 0.5000 0.0000 0.7500
Be4 0.5000 0.5000 0.5000

Output
DFT formation energy	757.6	meV per atom
DFT total energy	-2.4164	eV/atom
space group	No. 122

## NaSc2Be2 (GGA-PBE)

Data for a relaxed structure of NaSc2Be2.

Unit cell a=7.5943 b=7.5943 c=3.2309 alpha=90.00 beta=90.00 gamma=90.00
Positions (direct):
Na1 0.0000 0.0000 0.0000
Na2 0.5000 0.5000 0.0000
Sc1 0.1745 0.3255 0.5000
Sc2 0.3255 0.8255 0.5000
Sc3 0.6745 0.1745 0.5000
Sc4 0.8255 0.6745 0.5000
Be1 0.1060 0.6060 0.0000
Be2 0.3940 0.1060 0.0000
Be3 0.6060 0.8940 0.0000
Be4 0.8940 0.3940 0.0000

Output
DFT formation energy	266.2	meV per atom
DFT total energy	-4.0207	eV/atom
space group	No. 127